# 1
# AgSe2

A PBEsol-optimized structure of AgSe2 (SCAN, Alexandria via LeMat-Bulk).

a = 5.465 Å, b = 5.465 Å, c = 5.465 Å
α = 114.47°, β = 114.47°, γ = 99.88°
Atoms (fractional coordinates):
Ag (0.250, 0.250, 0.000)
Ag (0.750, 0.750, 0.000)
Se (0.140, 0.640, 0.779)
Se (0.360, 0.140, 0.500)
Se (0.640, 0.860, 0.500)
Se (0.860, 0.360, 0.221)

Computed properties:
Symmetry: I4/mcm, No. 140

***

# 2
# AgSe8

A PBEsol-optimized structure of AgSe8 (SCAN, Alexandria via LeMat-Bulk).

a = 6.585 Å, b = 6.585 Å, c = 6.585 Å
α = 107.73°, β = 107.73°, γ = 113.00°
Atoms (fractional coordinates):
Ag (0.000, 0.000, 0.000)
Se (0.000, 0.325, 0.325)
Se (0.000, 0.675, 0.675)
Se (0.325, 0.000, 0.325)
Se (0.334, 0.334, 0.668)
Se (0.334, 0.666, 0.000)
Se (0.666, 0.334, 0.000)
Se (0.666, 0.666, 0.332)
Se (0.675, 0.000, 0.675)

Computed properties:
Symmetry: I4/mmm, No. 139

***

E_tot
In order: -23.755, -21.079
Unit: eV/atom
Density of states at the Fermi level
In order: 4.26, 5.27
Unit: states/eV/cell